DFT (PBE) results for a relaxed Rb2PrNpO4 crystal. Values from VASP.

DOS(E_F), states/eV/cell: 10.0
Volume, Å³/atom: 19.05
ΔE_f (raw), eV/atom: -2.33
Uncorrected energy, eV per atom: -7.267
SG: P2/m (10)

Quantum ESPRESSO input file:
```
&SYSTEM
  ibrav = 0, nat = 8, ntyp = 4
/
ATOMIC_SPECIES
Rb 85.47 Rb.upf
O 16.00 O.upf
Np 237.00 Np.upf
Pr 140.91 Pr.upf
ATOMIC_POSITIONS crystal
Rb 0.5000 0.0000 0.5000
Rb 0.0000 0.5000 0.5000
O 0.0000 0.7398 0.1792
O 0.5000 0.7876 0.8236
O 0.0000 0.2602 0.8208
O 0.5000 0.2124 0.1764
Np 0.0000 0.0000 0.0000
Pr 0.5000 0.5000 0.0000
CELL_PARAMETERS angstrom
-3.5107 -0.0065 -0.9845
1.3900 -3.6931 -4.9325
-1.5020 -4.1285 5.3830
```

DFT (PBE) results for a relaxed Pr2NpRhO8 crystal. Values from VASP.

DOS(E_F), states/eV/cell: 7.1
Volume, Å³/atom: 14.85
ΔE_f (raw), eV/atom: -2.55
Uncorrected energy, eV per atom: -8.341
SG: P-1 (2)

Quantum ESPRESSO input file:
```
&SYSTEM
  ibrav = 0, nat = 12, ntyp = 4
/
ATOMIC_SPECIES
Pr 140.91 Pr.upf
O 16.00 O.upf
Rh 102.91 Rh.upf
Np 237.00 Np.upf
ATOMIC_POSITIONS crystal
Pr 0.3491 0.6104 0.6691
Pr 0.6509 0.3896 0.3309
O 0.3464 0.2140 0.5362
O 0.0841 0.7775 0.8135
O 0.9345 0.2523 0.6696
O 0.6536 0.7860 0.4638
O 0.9159 0.2225 0.1865
O 0.0655 0.7477 0.3304
O 0.6787 0.7504 0.9766
O 0.3213 0.2496 0.0234
Rh 0.0000 0.0000 0.5000
Np 0.0000 0.0000 0.0000
CELL_PARAMETERS angstrom
-1.9836 -4.7127 3.2927
4.7350 1.3523 1.7107
-1.0189 4.9996 3.5920
```

DFT (PBE) results for a relaxed PrNpRhO6 crystal. Values from VASP.

DOS(E_F), states/eV/cell: 2.2
Volume, Å³/atom: 13.49
ΔE_f (raw), eV/atom: -2.15
Uncorrected energy, eV per atom: -8.236
SG: P-31c (163)

Quantum ESPRESSO input file:
```
&SYSTEM
  ibrav = 0, nat = 18, ntyp = 4
/
ATOMIC_SPECIES
O 16.00 O.upf
Np 237.00 Np.upf
Rh 102.91 Rh.upf
Pr 140.91 Pr.upf
ATOMIC_POSITIONS crystal
O 0.7031 0.6582 0.1199
O 0.6582 0.9551 0.8801
O 0.7031 0.0449 0.3801
O 0.3418 0.2969 0.3801
O 0.0449 0.7031 0.8801
O 0.3418 0.0449 0.1199
O 0.9551 0.2969 0.1199
O 0.2969 0.9551 0.6199
O 0.0449 0.3418 0.6199
O 0.2969 0.3418 0.8801
O 0.6582 0.7031 0.6199
O 0.9551 0.6582 0.3801
Np 0.6667 0.3333 0.2500
Np 0.3333 0.6667 0.7500
Rh 0.0000 0.0000 0.5000
Rh 0.0000 0.0000 0.0000
Pr 0.6667 0.3333 0.7500
Pr 0.3333 0.6667 0.2500
CELL_PARAMETERS angstrom
-5.0671 -0.2714 -2.7094
2.7830 -4.8397 1.3867
-3.9890 -0.1519 7.4754
```

DFT (PBE) results for a relaxed PrNpSbO2 crystal. Values from VASP.

DOS(E_F), states/eV/cell: 8.6
Volume, Å³/atom: 20.46
ΔE_f (raw), eV/atom: -2.32
Uncorrected energy, eV per atom: -8.668
SG: I4mm (107)

Quantum ESPRESSO input file:
```
&SYSTEM
  ibrav = 0, nat = 5, ntyp = 4
/
ATOMIC_SPECIES
Np 237.00 Np.upf
O 16.00 O.upf
Sb 121.76 Sb.upf
Pr 140.91 Pr.upf
ATOMIC_POSITIONS crystal
Np 0.1598 0.1598 0.3197
O 0.2430 0.7430 0.4861
O 0.7430 0.2430 0.4861
Sb 0.5054 0.5054 0.0108
Pr 0.8487 0.8487 0.6974
CELL_PARAMETERS angstrom
-1.0986 3.8065 -0.2478
-0.2410 -0.3267 -3.9488
-5.5551 -3.5023 2.6241
```

DFT (PBE) results for a relaxed Pr2NpScO6 crystal. Values from VASP.

DOS(E_F), states/eV/cell: 18.2
Volume, Å³/atom: 14.77
ΔE_f (raw), eV/atom: -3.15
Uncorrected energy, eV per atom: -9.008
SG: P2_1/c (14)

Quantum ESPRESSO input file:
```
&SYSTEM
  ibrav = 0, nat = 20, ntyp = 4
/
ATOMIC_SPECIES
Pr 140.91 Pr.upf
O 16.00 O.upf
Sc 44.96 Sc.upf
Np 237.00 Np.upf
ATOMIC_POSITIONS crystal
Pr 0.4821 0.4431 0.2506
Pr 0.0179 0.9431 0.2494
Pr 0.5179 0.5569 0.7494
Pr 0.9821 0.0569 0.7506
O 0.3166 0.7053 0.0694
O 0.7958 0.8126 0.9356
O 0.7042 0.3126 0.5644
O 0.8720 0.5569 0.2609
O 0.8166 0.7947 0.5694
O 0.6280 0.0569 0.2391
O 0.2042 0.1874 0.0644
O 0.3720 0.9431 0.7609
O 0.6834 0.2947 0.9306
O 0.1280 0.4431 0.7391
O 0.2958 0.6874 0.4356
O 0.1834 0.2053 0.4306
Sc 0.0000 0.5000 0.5000
Sc 0.5000 0.0000 0.0000
Np 0.5000 0.0000 0.5000
Np 0.0000 0.5000 0.0000
CELL_PARAMETERS angstrom
-3.5705 3.0248 -3.4314
-2.0592 -5.1584 -2.4045
-6.0133 -0.3351 5.8688
```

DFT (PBE) results for a relaxed PrNpSeO2 crystal. Values from VASP.

DOS(E_F), states/eV/cell: 8.7
Volume, Å³/atom: 19.19
ΔE_f (raw), eV/atom: -2.58
Uncorrected energy, eV per atom: -8.807
SG: I4mm (107)

Quantum ESPRESSO input file:
```
&SYSTEM
  ibrav = 0, nat = 5, ntyp = 4
/
ATOMIC_SPECIES
Pr 140.91 Pr.upf
Se 78.96 Se.upf
O 16.00 O.upf
Np 237.00 Np.upf
ATOMIC_POSITIONS crystal
Pr 0.8531 0.8531 0.7061
Se 0.5021 0.5021 0.0042
O 0.7468 0.2468 0.4935
O 0.2468 0.7468 0.4935
Np 0.1513 0.1513 0.3027
CELL_PARAMETERS angstrom
3.9249 0.0000 0.0000
0.0000 3.9249 0.0000
-1.9625 -1.9625 6.2279
```

DFT (PBE) results for a relaxed PrNpSe2O crystal. Values from VASP.

DOS(E_F), states/eV/cell: 10.6
Volume, Å³/atom: 24.33
ΔE_f (raw), eV/atom: -2.07
Uncorrected energy, eV per atom: -8.004
SG: P4/nmm (129)

Quantum ESPRESSO input file:
```
&SYSTEM
  ibrav = 0, nat = 10, ntyp = 4
/
ATOMIC_SPECIES
Se 78.96 Se.upf
O 16.00 O.upf
Np 237.00 Np.upf
Pr 140.91 Pr.upf
ATOMIC_POSITIONS crystal
Se 0.0000 0.5000 0.6772
Se 0.0000 0.5000 0.0900
Se 0.5000 0.0000 0.9100
Se 0.5000 0.0000 0.3228
O 0.0000 0.0000 0.5000
O 0.5000 0.5000 0.5000
Np 0.0000 0.5000 0.4224
Np 0.5000 0.0000 0.5776
Pr 0.5000 0.0000 0.1289
Pr 0.0000 0.5000 0.8711
CELL_PARAMETERS angstrom
4.0605 0.0000 0.0000
0.0000 4.0605 0.0000
0.0000 0.0000 14.7581
```

DFT (PBE) results for a relaxed Pr2SmNpO8 crystal. Values from VASP.

DOS(E_F), states/eV/cell: 0.2
Volume, Å³/atom: 14.20
ΔE_f (raw), eV/atom: -3.10
Uncorrected energy, eV per atom: -8.675
SG: P2/m (10)

Quantum ESPRESSO input file:
```
&SYSTEM
  ibrav = 0, nat = 12, ntyp = 4
/
ATOMIC_SPECIES
O 16.00 O.upf
Sm 150.36 Sm.upf
Np 237.00 Np.upf
Pr 140.91 Pr.upf
ATOMIC_POSITIONS crystal
O 0.5012 0.2492 0.5000
O 0.0354 0.7714 0.2169
O 0.4988 0.7508 0.5000
O 0.0354 0.7715 0.7832
O 0.9646 0.2286 0.7831
O 0.5600 0.7869 0.0000
O 0.9646 0.2285 0.2168
O 0.4400 0.2131 0.0000
Sm 0.0000 0.0000 0.5000
Np 0.0000 0.0000 0.0000
Pr 0.5000 0.5000 0.2559
Pr 0.5000 0.5000 0.7441
CELL_PARAMETERS angstrom
-3.4350 0.7692 -1.8829
0.5567 -5.1486 -2.1314
-3.8921 -2.8738 5.9261
```

DFT (PBE) results for a relaxed PrSm2NpO8 crystal. Values from VASP.

DOS(E_F), states/eV/cell: 0.7
Volume, Å³/atom: 13.92
ΔE_f (raw), eV/atom: -3.13
Uncorrected energy, eV per atom: -8.695
SG: P2/m (10)

Quantum ESPRESSO input file:
```
&SYSTEM
  ibrav = 0, nat = 12, ntyp = 4
/
ATOMIC_SPECIES
O 16.00 O.upf
Pr 140.91 Pr.upf
Sm 150.36 Sm.upf
Np 237.00 Np.upf
ATOMIC_POSITIONS crystal
O 0.9674 0.2350 0.7850
O 0.4911 0.7425 0.5000
O 0.0326 0.7651 0.7850
O 0.4451 0.2175 0.0000
O 0.9674 0.2349 0.2150
O 0.5549 0.7825 0.0000
O 0.5089 0.2575 0.5000
O 0.0326 0.7650 0.2150
Pr 0.0000 0.0000 0.5000
Sm 0.5000 0.5000 0.2558
Sm 0.5000 0.5000 0.7442
Np 0.0000 0.0000 0.0000
CELL_PARAMETERS angstrom
-1.3842 0.5299 -3.6972
4.6033 -2.5972 -1.6208
-3.6266 -6.6772 0.4007
```

DFT (PBE) results for a relaxed SrPr2NpO6 crystal. Values from VASP.

DOS(E_F), states/eV/cell: 11.6
Volume, Å³/atom: 17.11
ΔE_f (raw), eV/atom: -3.09
Uncorrected energy, eV per atom: -8.480
SG: R3 (146)

Quantum ESPRESSO input file:
```
&SYSTEM
  ibrav = 0, nat = 10, ntyp = 4
/
ATOMIC_SPECIES
O 16.00 O.upf
Pr 140.91 Pr.upf
Sr 87.62 Sr.upf
Np 237.00 Np.upf
ATOMIC_POSITIONS crystal
O 0.3990 0.6878 0.7681
O 0.6878 0.1450 0.7681
O 0.6029 0.2150 0.2431
O 0.2150 0.9390 0.2431
O 0.1450 0.3991 0.7681
O 0.9390 0.6029 0.2431
Pr 0.5311 0.5311 0.4066
Pr 0.0245 0.0245 0.9264
Sr 0.8023 0.8023 0.5930
Np 0.3148 0.3148 0.0555
CELL_PARAMETERS angstrom
6.1352 0.0000 0.0003
3.0676 5.3132 0.0000
3.0675 1.7712 5.2479
```

DFT (PBE) results for a relaxed SrPrNp2O8 crystal. Values from VASP.

DOS(E_F), states/eV/cell: 12.2
Volume, Å³/atom: 13.54
ΔE_f (raw), eV/atom: -2.96
Uncorrected energy, eV per atom: -8.961
SG: I-4m2 (119)

Quantum ESPRESSO input file:
```
&SYSTEM
  ibrav = 0, nat = 12, ntyp = 4
/
ATOMIC_SPECIES
O 16.00 O.upf
Np 237.00 Np.upf
Sr 87.62 Sr.upf
Pr 140.91 Pr.upf
ATOMIC_POSITIONS crystal
O 0.5944 0.6307 0.7521
O 0.8786 0.4056 0.2479
O 0.1583 0.6306 0.7532
O 0.5949 0.1226 0.7532
O 0.3693 0.8423 0.2479
O 0.1577 0.1214 0.7521
O 0.8774 0.8417 0.2468
O 0.3694 0.4051 0.2468
Np 0.5000 0.5000 0.0000
Np 0.2500 0.7500 0.5000
Sr 0.7500 0.2500 0.5000
Pr 0.0000 0.0000 0.0000
CELL_PARAMETERS angstrom
5.5230 0.0000 0.0000
0.0000 5.5230 0.0000
-2.7615 -2.7615 5.3249
```

DFT (PBE) results for a relaxed Sr2PrNpO6 crystal. Values from VASP.

DOS(E_F), states/eV/cell: 15.4
Volume, Å³/atom: 16.37
ΔE_f (raw), eV/atom: -3.06
Uncorrected energy, eV per atom: -8.148
SG: P2_1/c (14)

Quantum ESPRESSO input file:
```
&SYSTEM
  ibrav = 0, nat = 20, ntyp = 4
/
ATOMIC_SPECIES
Sr 87.62 Sr.upf
O 16.00 O.upf
Np 237.00 Np.upf
Pr 140.91 Pr.upf
ATOMIC_POSITIONS crystal
Sr 0.4871 0.4527 0.2483
Sr 0.5129 0.5473 0.7517
Sr 0.0129 0.9527 0.2517
Sr 0.9871 0.0473 0.7483
O 0.1860 0.2151 0.0647
O 0.3140 0.7151 0.4353
O 0.8140 0.7849 0.9353
O 0.2852 0.6869 0.0542
O 0.6105 0.0485 0.2644
O 0.6860 0.2849 0.5647
O 0.1105 0.4515 0.7644
O 0.8895 0.5485 0.2356
O 0.2148 0.1869 0.4458
O 0.3895 0.9515 0.7356
O 0.7148 0.3131 0.9458
O 0.7852 0.8131 0.5542
Np 0.0000 0.5000 0.0000
Np 0.5000 0.0000 0.5000
Pr 0.0000 0.5000 0.5000
Pr 0.5000 0.0000 0.0000
CELL_PARAMETERS angstrom
-3.5061 -4.9103 0.4648
4.1006 -2.5554 3.9361
-4.1592 3.6377 6.6949
```

DFT (PBE) results for a relaxed TbPr2NpO8 crystal. Values from VASP.

DOS(E_F), states/eV/cell: 0.1
Volume, Å³/atom: 13.99
ΔE_f (raw), eV/atom: -3.11
Uncorrected energy, eV per atom: -8.675
SG: P2/m (10)

Quantum ESPRESSO input file:
```
&SYSTEM
  ibrav = 0, nat = 12, ntyp = 4
/
ATOMIC_SPECIES
Tb 158.93 Tb.upf
O 16.00 O.upf
Pr 140.91 Pr.upf
Np 237.00 Np.upf
ATOMIC_POSITIONS crystal
Tb 0.0000 0.0000 0.5000
O 0.5580 0.7860 0.0000
O 0.9649 0.2271 0.2196
O 0.4944 0.2452 0.5000
O 0.0351 0.7729 0.7804
O 0.0351 0.7729 0.2197
O 0.5056 0.7548 0.5000
O 0.9649 0.2271 0.7803
O 0.4420 0.2140 0.0000
Pr 0.5000 0.5000 0.2571
Pr 0.5000 0.5000 0.7429
Np 0.0000 0.0000 0.0000
CELL_PARAMETERS angstrom
3.9573 -0.2031 -0.0017
-0.1700 5.5832 -0.0064
0.0039 0.0082 7.6120
```

DFT (PBE) results for a relaxed PrNpTl2O8 crystal. Values from VASP.

Volume, Å³/atom: 16.39
ΔE_f (raw), eV/atom: -1.88
Uncorrected energy, eV per atom: -7.060
SG: P-1 (2)

Quantum ESPRESSO input file:
```
&SYSTEM
  ibrav = 0, nat = 12, ntyp = 4
/
ATOMIC_SPECIES
O 16.00 O.upf
Tl 204.38 Tl.upf
Np 237.00 Np.upf
Pr 140.91 Pr.upf
ATOMIC_POSITIONS crystal
O 0.8305 0.1742 0.7899
O 0.6859 0.6876 0.5173
O 0.7040 0.7039 0.0110
O 0.8257 0.1691 0.2097
O 0.3141 0.3124 0.4827
O 0.1743 0.8309 0.7903
O 0.2960 0.2961 0.9890
O 0.1695 0.8258 0.2101
Tl 0.5084 0.5086 0.2500
Tl 0.4916 0.4914 0.7500
Np 0.0000 0.0000 0.0000
Pr 0.0000 0.0000 0.5000
CELL_PARAMETERS angstrom
-4.7716 -0.2400 2.2776
1.0481 -5.0487 1.2415
2.5936 1.7745 6.2828
```

DFT (PBE) results for a relaxed Pr2NpTlO8 crystal. Values from VASP.

Volume, Å³/atom: 14.82
ΔE_f (raw), eV/atom: -2.50
Uncorrected energy, eV per atom: -7.879
SG: P2/m (10)

Quantum ESPRESSO input file:
```
&SYSTEM
  ibrav = 0, nat = 12, ntyp = 4
/
ATOMIC_SPECIES
O 16.00 O.upf
Np 237.00 Np.upf
Tl 204.38 Tl.upf
Pr 140.91 Pr.upf
ATOMIC_POSITIONS crystal
O 0.0557 0.7663 0.7975
O 0.5698 0.7774 0.0000
O 0.3909 0.2602 0.5000
O 0.9442 0.2338 0.7976
O 0.4302 0.2226 0.0000
O 0.6091 0.7398 0.5000
O 0.0558 0.7662 0.2024
O 0.9443 0.2337 0.2025
Np 0.0000 0.0000 0.0000
Tl 0.0000 0.0000 0.5000
Pr 0.5000 0.4999 0.2439
Pr 0.5000 0.5001 0.7561
CELL_PARAMETERS angstrom
-0.3403 1.1795 -3.9438
-4.6745 -2.8481 0.2707
-3.8487 6.5317 2.2859
```

DFT (PBE) results for a relaxed PrTmNpO6 crystal. Values from VASP.

Volume, Å³/atom: 15.68
ΔE_f (raw), eV/atom: -3.21
Uncorrected energy, eV per atom: -8.981
SG: P-31c (163)

Quantum ESPRESSO input file:
```
&SYSTEM
  ibrav = 0, nat = 18, ntyp = 4
/
ATOMIC_SPECIES
O 16.00 O.upf
Np 237.00 Np.upf
Pr 140.91 Pr.upf
Tm 168.93 Tm.upf
ATOMIC_POSITIONS crystal
O 0.0205 0.6557 0.8615
O 0.0205 0.3648 0.6385
O 0.3443 0.3648 0.8615
O 0.6352 0.6557 0.6385
O 0.3648 0.0205 0.1385
O 0.9795 0.3443 0.1385
O 0.6352 0.9795 0.8615
O 0.3648 0.3443 0.3615
O 0.9795 0.6352 0.3615
O 0.6557 0.0205 0.3615
O 0.3443 0.9795 0.6385
O 0.6557 0.6352 0.1385
Np 0.6667 0.3333 0.2500
Np 0.3333 0.6667 0.7500
Pr 0.0000 0.0000 0.5000
Pr 0.0000 0.0000 0.0000
Tm 0.3333 0.6667 0.2500
Tm 0.6667 0.3333 0.7500
CELL_PARAMETERS angstrom
5.7364 0.0000 0.0000
-2.8682 4.9679 0.0000
0.0000 0.0000 9.9063
```

DFT (PBE) results for a relaxed PrNpUO6 crystal. Values from VASP.

DOS(E_F), states/eV/cell: 28.5
Volume, Å³/atom: 15.71
ΔE_f (raw), eV/atom: -3.08
Uncorrected energy, eV per atom: -9.605
SG: P-31c (163)

Quantum ESPRESSO input file:
```
&SYSTEM
  ibrav = 0, nat = 18, ntyp = 4
/
ATOMIC_SPECIES
U 238.03 U.upf
O 16.00 O.upf
Np 237.00 Np.upf
Pr 140.91 Pr.upf
ATOMIC_POSITIONS crystal
U 0.3333 0.6667 0.7500
U 0.6667 0.3333 0.2500
O 0.9668 0.6536 0.3715
O 0.0332 0.3464 0.6285
O 0.3132 0.3464 0.8715
O 0.3464 0.0332 0.1285
O 0.0332 0.6868 0.8715
O 0.6536 0.6868 0.6285
O 0.6536 0.9668 0.8715
O 0.6868 0.6536 0.1285
O 0.3464 0.3132 0.3715
O 0.9668 0.3132 0.1285
O 0.3132 0.9668 0.6285
O 0.6868 0.0332 0.3715
Np 0.0000 0.0000 0.5000
Np 0.0000 0.0000 0.0000
Pr 0.3333 0.6667 0.2500
Pr 0.6667 0.3333 0.7500
CELL_PARAMETERS angstrom
-1.9462 5.3939 -1.5172
-1.2371 -2.1977 5.3687
7.8045 3.7540 3.3352
```